# PBE SmDy8Te2, optimized geometry
data_SmDy8Te2
_cell_length_a 14.952
_cell_length_b 8.774
_cell_length_c 5.699
_cell_angle_alpha 90.00
_cell_angle_beta 98.70
_cell_angle_gamma 90.00
_symmetry_space_group_name_H-M 'C 1 2/m 1'
_symmetry_Int_Tables_number 12
loop_
_symmetry_equiv_pos_as_xyz
'x,y,z'
'-x,-y,-z'
'-x,y,-z'
'x,-y,z'
'x+1/2,y+1/2,z'
'-x+1/2,-y+1/2,-z'
'-x+1/2,y+1/2,-z'
'x+1/2,-y+1/2,z'
loop_
_atom_site_label
_atom_site_type_symbol
_atom_site_fract_x
_atom_site_fract_y
_atom_site_fract_z
Sm1 Sm 0.000 0.000 0.000
Dy1 Dy 0.081 0.315 0.770
Dy2 Dy 0.145 0.500 0.290
Dy3 Dy 0.216 0.000 0.126
Te1 Te 0.132 0.000 0.579
# Energy = -4.472 eV per atom
# ΔE_f (raw) = -0.12 eV per atom
# Calculated volume = 33.59 A^3/atom
# DOS at the Fermi energy = 1.09 states/eV/atom